Cd2SbSe after structural relaxation, computed with PBE.

Energy relative to the elements, uncorrected ... 96 meV/atom
VASP energy ... -2.26 eV per atom
SG ... P4/mmm (123)

a b c (Å): 5.3526 5.3526 3.3852
angles (deg): 90.00 90.00 90.00
Atoms (fractional coordinates):
Cd: 0.0000 0.5000 0.0000
Cd: 0.5000 0.0000 0.0000
Sb: 0.0000 0.0000 0.5000
Se: 0.5000 0.5000 0.5000